# KGe2SeCl PBE-GGA relaxed
# - uncorrected formation energy (eV per atom) = -0.04
# - V (Å³/f.u.) = 206.44
data_KGe2SeCl
_space_group_name_H-M_alt 'P 4/m m m'
_space_group_IT_number 123
_space_group_name_Hall '-P 4 2'
_cell_length_a 5.023
_cell_length_b 5.023
_cell_length_c 8.182
_cell_angle_alpha 90.00
_cell_angle_beta 90.00
_cell_angle_gamma 90.00
loop_
_atom_site_label
_atom_site_fract_x
_atom_site_fract_y
_atom_site_fract_z
K1 0.000 0.000 0.000
Ge1 0.000 0.500 0.500
Se1 0.500 0.500 0.500
Cl1 0.500 0.500 0.000